[1]
DFT (PBE) results for a relaxed PrHo2ScP4 crystal.

- Size of the total moment: 0.00 μB per cell
- ΔE_f: -1.508 eV/atom

```
data_PrHo2ScP4
_chemical_formula_sum 'Pr1 Ho2 Sc1 P4'
_cell_length_a 6.907
_cell_length_b 3.998
_cell_length_c 6.919
_cell_angle_alpha 90.00
_cell_angle_beta 109.44
_cell_angle_gamma 90.00
_space_group_name_H-M_alt 'P 1 2/m 1'
_space_group_IT_number 10
loop_
_space_group_symop_operation_xyz
'x,y,z'
'-x,-y,-z'
'-x,y,-z'
'x,-y,z'
loop_
_atom_site_label
_atom_site_type_symbol
_atom_site_fract_x
_atom_site_fract_y
_atom_site_fract_z
Pr1 Pr 0.000 0.000 0.000
Ho1 Ho 0.000 0.500 0.500
Ho2 Ho 0.500 0.000 0.500
Sc1 Sc 0.500 0.500 0.000
P1 P 0.263 0.000 0.754
P2 P 0.263 0.500 0.255
```

[2]
DFT (PBE) results for a relaxed ReRu2W crystal.

- Excess energy over the best structure of this formula in the dataset: 287 meV/atom
- Size of the total moment: 0.00 μB per cell
- ΔE_f: 0.300 eV/atom

```
data_ReRu2W
_chemical_formula_sum 'Re2 Ru4 W2'
_cell_length_a 3.021
_cell_length_b 4.430
_cell_length_c 9.108
_cell_angle_alpha 90.00
_cell_angle_beta 90.00
_cell_angle_gamma 90.00
_space_group_name_H-M_alt 'I m m 2'
_space_group_IT_number 44
loop_
_space_group_symop_operation_xyz
'x,y,z'
'-x,-y,z'
'-x,y,z'
'x,-y,z'
'x+1/2,y+1/2,z+1/2'
'-x+1/2,-y+1/2,z+1/2'
'-x+1/2,y+1/2,z+1/2'
'x+1/2,-y+1/2,z+1/2'
loop_
_atom_site_label
_atom_site_type_symbol
_atom_site_fract_x
_atom_site_fract_y
_atom_site_fract_z
Re1 Re 0.000 0.000 0.000
Ru1 Ru 0.000 0.000 0.542
Ru2 Ru 0.000 0.500 0.754
W1 W 0.000 0.500 0.274
```

[3]
DFT (PBE) results for a relaxed AcCe2PmAs4 crystal.

- Size of the total moment: 1.32 μB per cell
- ΔE_f: -1.444 eV/atom

```
data_AcCe2PmAs4
_chemical_formula_sum 'Ac1 Ce2 Pm1 As4'
_cell_length_a 7.465
_cell_length_b 4.307
_cell_length_c 7.469
_cell_angle_alpha 90.00
_cell_angle_beta 109.42
_cell_angle_gamma 90.00
_space_group_name_H-M_alt 'P 1 2/m 1'
_space_group_IT_number 10
loop_
_space_group_symop_operation_xyz
'x,y,z'
'-x,-y,-z'
'-x,y,-z'
'x,-y,z'
loop_
_atom_site_label
_atom_site_type_symbol
_atom_site_fract_x
_atom_site_fract_y
_atom_site_fract_z
Ac1 Ac 0.000 0.000 0.000
Ce1 Ce 0.500 0.000 0.500
Ce2 Ce 0.500 0.500 0.000
Pm1 Pm 0.000 0.500 0.500
As1 As 0.259 0.000 0.745
As2 As 0.266 0.500 0.263
```

[4]
DFT (PBE) results for a relaxed BeSnHgPt2 crystal.

- Size of the total moment: 0.00 μB per cell
- ΔE_f: 0.807 eV/atom

```
data_BeSnHgPt2
_chemical_formula_sum 'Be1 Sn1 Hg1 Pt2'
_cell_length_a 5.065
_cell_length_b 5.065
_cell_length_c 4.461
_cell_angle_alpha 90.00
_cell_angle_beta 90.00
_cell_angle_gamma 90.00
_space_group_name_H-M_alt 'P 4/m m m'
_space_group_IT_number 123
_space_group_name_Hall '-P 4 2'
loop_
_atom_site_label
_atom_site_type_symbol
_atom_site_fract_x
_atom_site_fract_y
_atom_site_fract_z
Be1 Be 0.000 0.000 0.000
Sn1 Sn 0.000 0.000 0.500
Hg1 Hg 0.500 0.500 0.000
Pt1 Pt 0.000 0.500 0.500
```

[5]
DFT (PBE) results for a relaxed Al2RuAu crystal.

- Size of the total moment: 0.00 μB per cell
- ΔE_f: -0.496 eV/atom

```
data_Al2RuAu
_chemical_formula_sum 'Al2 Ru1 Au1'
_cell_length_a 4.209
_cell_length_b 4.209
_cell_length_c 3.320
_cell_angle_alpha 90.00
_cell_angle_beta 90.00
_cell_angle_gamma 90.00
_space_group_name_H-M_alt 'P 4/m m m'
_space_group_IT_number 123
_space_group_name_Hall '-P 4 2'
loop_
_atom_site_label
_atom_site_type_symbol
_atom_site_fract_x
_atom_site_fract_y
_atom_site_fract_z
Al1 Al 0.000 0.500 0.000
Ru1 Ru 0.000 0.000 0.500
Au1 Au 0.500 0.500 0.500
```

[6]
DFT (PBE) results for a relaxed AlCu2Te crystal.

- Excess energy over the best structure of this formula in the dataset: 235 meV/atom
- Size of the total moment: 0.00 μB per cell

```
data_AlCu2Te
_chemical_formula_sum 'Al4 Cu8 Te4'
_cell_length_a 7.118
_cell_length_b 7.118
_cell_length_c 5.840
_cell_angle_alpha 90.00
_cell_angle_beta 90.00
_cell_angle_gamma 90.00
_space_group_name_H-M_alt 'I -4 2 d'
_space_group_IT_number 122
_space_group_name_Hall 'I -4 2bw'
loop_
_atom_site_label
_atom_site_type_symbol
_atom_site_fract_x
_atom_site_fract_y
_atom_site_fract_z
Al1 Al 0.000 0.000 0.000
Cu1 Cu 0.236 0.250 0.125
Te1 Te 0.000 0.000 0.500
```